# 1
Density functional theory data (PBE) for Mg2ZnAg6 after structural relaxation.

a b c (Å): 8.664 8.664 4.210
angles (deg): 90.00 90.00 90.00
Space group P4_2/mnm (No. 136)
Unique sites:
Mg: 0.184 0.184 0.000
Zn: 0.000 0.000 0.500
Ag: 0.013 0.330 0.500
Ag: 0.146 0.854 0.000

Its energy above the most stable polymorph in this dataset is 0.000 eV per atom. Its density of states at the Fermi level is 0.24 states/eV/atom.

# 2
Density functional theory data (PBE) for Mg3Zn2Ag8 after structural relaxation.

a b c (Å): 5.4987 5.4987 29.3340
angles (deg): 90.00 90.00 120.00
Space group R-3m (No. 166, hexagonal axes)
Unique sites:
Mg: 0.0000 0.0000 0.0000
Mg: 0.0000 0.0000 0.1853
Zn: 0.0000 0.0000 0.3637
Ag: 0.0000 0.0000 0.2780
Ag: 0.0022 0.5011 0.7700

Its energy above the most stable polymorph in this dataset is 0.046 eV per atom. Its density of states at the Fermi level is 0.39 states/eV/atom.

# 3
Density functional theory data (PBE) for Mg2ZnAg9 after structural relaxation.

a b c (Å): 4.245 4.245 11.791
angles (deg): 90.00 90.00 90.00
Space group P4/mmm (No. 123)
Unique sites:
Mg: 0.000 0.000 0.171
Zn: 0.000 0.000 0.500
Ag: 0.000 0.500 0.000
Ag: 0.000 0.500 0.339
Ag: 0.500 0.500 0.170
Ag: 0.500 0.500 0.500

As for the electronic total energy: -2.61 eV per atom. Its density of states at the Fermi level is 0.34 states/eV/atom.